Entry 1:
{
  "formula": "Tb2HoZn4",
  "functional": "PBE",
  "state": "optimized geometry",
  "lattice": [[-3.769, -1.836, -2.978], [3.321, -3.253, -2.198], [-1.110, -1.745, 6.921]],
  "species": ["Zn", "Zn", "Zn", "Tb", "Tb", "Zn", "Ho"],
  "frac_coords": [[0.609, 0.109, 0.218], [0.391, 0.891, 0.782], [0.109, 0.609, 0.218], [0.724, 0.724, 0.448], [0.276, 0.276, 0.552], [0.891, 0.391, 0.782], [0.000, 0.000, 0.000]],
  "space_group": "No. 139"
}

Entry 2:
{
  "formula": "Tb4Ho3Zn",
  "functional": "PBE",
  "state": "optimized geometry",
  "lattice": [[3.555, 0.000, 0.000], [0.000, 3.555, 0.000], [0.000, 0.000, 18.614]],
  "species": ["Tb", "Tb", "Ho", "Zn", "Ho", "Ho", "Tb", "Tb"],
  "frac_coords": [[0.000, 0.000, 0.904], [0.000, 0.000, 0.634], [0.500, 0.500, 0.233], [0.500, 0.500, 0.000], [0.500, 0.500, 0.500], [0.500, 0.500, 0.767], [0.000, 0.000, 0.366], [0.000, 0.000, 0.096]],
  "space_group": "No. 123"
}

Entry 3:
{
  "formula": "Tb3HoZn2",
  "functional": "PBE",
  "state": "optimized geometry",
  "lattice": [[5.044, 0.000, 0.000], [0.000, 6.738, 0.000], [0.000, 0.000, 9.103]],
  "species": ["Ho", "Zn", "Tb", "Tb", "Tb", "Tb", "Tb", "Ho", "Zn", "Tb", "Zn", "Zn"],
  "frac_coords": [[0.500, 0.515, 0.556], [0.500, 0.225, 0.151], [0.500, 0.168, 0.825], [0.500, 0.668, 0.175], [0.000, 0.331, 0.328], [0.000, 0.986, 0.056], [0.000, 0.486, 0.944], [0.500, 0.015, 0.444], [0.000, 0.275, 0.650], [0.000, 0.831, 0.672], [0.500, 0.725, 0.849], [0.000, 0.775, 0.350]],
  "space_group": "No. 26",
  "relative_energy_mev_per_atom": 0
}

Entry 4:
{
  "formula": "Tb4HoZn4",
  "functional": "PBE",
  "state": "optimized geometry",
  "lattice": [[-0.382, -1.888, 5.854], [-7.242, -4.495, -1.922], [4.859, -6.998, -1.940]],
  "species": ["Tb", "Zn", "Tb", "Tb", "Tb", "Ho", "Tb", "Zn", "Tb", "Zn", "Tb", "Tb", "Zn", "Zn", "Zn", "Zn", "Zn", "Ho"],
  "frac_coords": [[0.101, 0.218, 0.592], [0.866, 0.723, 0.117], [0.601, 0.092, 0.282], [0.601, 0.908, 0.718], [0.399, 0.282, 0.908], [0.500, 0.500, 0.500], [0.899, 0.408, 0.218], [0.366, 0.383, 0.223], [0.399, 0.718, 0.092], [0.634, 0.223, 0.617], [0.899, 0.592, 0.782], [0.101, 0.782, 0.408], [0.634, 0.777, 0.383], [0.134, 0.117, 0.277], [0.866, 0.277, 0.883], [0.366, 0.617, 0.777], [0.134, 0.883, 0.723], [0.000, 0.000, 0.000]],
  "space_group": "No. 86"
}

| no. | energy relative to the elements (eV/atom) | M_tot (μB per formula unit) |
| --- | --- | --- |
| 1 | -0.160 | 0.00 |
| 2 | -0.070 | 0.00 |
| 3 | -0.227 | 0.00 |
| 4 | -0.071 | 0.00 |